1.
{
  "formula": "Ac8Sb3Te4",
  "functional": "GGA-PBE",
  "state": "relaxed",
  "spacegroup": "No. 12",
  "raw_formation_energy_ev_per_fu": -18.92,
  "magnetic_moment_mub_per_cell": 0.0,
  "lattice": [[6.676, -6.690, 0.000], [6.676, 6.690, 0.000], [-6.656, 0.000, 6.702]],
  "species": ["Ac", "Ac", "Ac", "Ac", "Ac", "Ac", "Ac", "Ac", "Sb", "Sb", "Sb", "Te", "Te", "Te", "Te"],
  "fractional_positions": [[0.242, 0.242, 0.495], [0.246, 0.246, 0.998], [0.247, 0.753, 0.000], [0.247, 0.753, 0.500], [0.753, 0.247, 0.000], [0.753, 0.247, 0.500], [0.754, 0.754, 0.002], [0.758, 0.758, 0.505], [0.000, 0.000, 0.000], [0.000, 0.500, 0.500], [0.500, 0.000, 0.500], [0.000, 0.500, 0.000], [0.500, 0.000, 0.000], [0.500, 0.500, 0.000], [0.500, 0.500, 0.500]]
}

2.
{
  "formula": "AcSbTe3",
  "functional": "GGA-PBE",
  "state": "relaxed",
  "de_polymorph_mev_per_atom": 112,
  "spacegroup": "No. 12",
  "raw_formation_energy_ev_per_fu": -3.64,
  "magnetic_moment_mub_per_cell": 0.0,
  "lattice": [[9.453, -2.312, 0.000], [9.453, 2.312, 0.000], [-1.159, 0.000, 8.821]],
  "species": ["Ac", "Ac", "Sb", "Sb", "Te", "Te", "Te", "Te", "Te", "Te"],
  "fractional_positions": [[0.207, 0.207, 0.244], [0.793, 0.793, 0.756], [0.440, 0.440, 0.295], [0.560, 0.560, 0.705], [0.025, 0.025, 0.214], [0.177, 0.177, 0.607], [0.342, 0.342, 0.018], [0.658, 0.658, 0.982], [0.823, 0.823, 0.393], [0.975, 0.975, 0.786]]
}

Repeat the second record exactly.
{
  "formula": "AcSbTe3",
  "functional": "GGA-PBE",
  "state": "relaxed",
  "de_polymorph_mev_per_atom": 112,
  "spacegroup": "No. 12",
  "raw_formation_energy_ev_per_fu": -3.64,
  "magnetic_moment_mub_per_cell": 0.0,
  "lattice": [[9.453, -2.312, 0.000], [9.453, 2.312, 0.000], [-1.159, 0.000, 8.821]],
  "species": ["Ac", "Ac", "Sb", "Sb", "Te", "Te", "Te", "Te", "Te", "Te"],
  "fractional_positions": [[0.207, 0.207, 0.244], [0.793, 0.793, 0.756], [0.440, 0.440, 0.295], [0.560, 0.560, 0.705], [0.025, 0.025, 0.214], [0.177, 0.177, 0.607], [0.342, 0.342, 0.018], [0.658, 0.658, 0.982], [0.823, 0.823, 0.393], [0.975, 0.975, 0.786]]
}

What did the second record say?
{
  "formula": "AcSbTe3",
  "functional": "GGA-PBE",
  "state": "relaxed",
  "de_polymorph_mev_per_atom": 112,
  "spacegroup": "No. 12",
  "raw_formation_energy_ev_per_fu": -3.64,
  "magnetic_moment_mub_per_cell": 0.0,
  "lattice": [[9.453, -2.312, 0.000], [9.453, 2.312, 0.000], [-1.159, 0.000, 8.821]],
  "species": ["Ac", "Ac", "Sb", "Sb", "Te", "Te", "Te", "Te", "Te", "Te"],
  "fractional_positions": [[0.207, 0.207, 0.244], [0.793, 0.793, 0.756], [0.440, 0.440, 0.295], [0.560, 0.560, 0.705], [0.025, 0.025, 0.214], [0.177, 0.177, 0.607], [0.342, 0.342, 0.018], [0.658, 0.658, 0.982], [0.823, 0.823, 0.393], [0.975, 0.975, 0.786]]
}